A relaxed Sr2RuN2 crystal. Source: Alexandria via LeMat-Bulk, functional PBE.

Properties
- uncorrected formation energy (meV/atom) = -405

a b c (Å): 7.768 5.287 10.212
angles (deg): 90.00 90.00 90.00
Fractional positions:
Sr1 0.033 0.250 0.198
Sr2 0.155 0.250 0.592
Sr3 0.345 0.750 0.092
Sr4 0.467 0.750 0.698
Sr5 0.533 0.250 0.302
Sr6 0.655 0.250 0.908
Sr7 0.845 0.750 0.408
Sr8 0.967 0.750 0.802
Ru1 0.217 0.250 0.923
Ru2 0.283 0.750 0.423
Ru3 0.717 0.250 0.577
Ru4 0.783 0.750 0.077
N1 0.010 0.250 0.850
N2 0.153 0.750 0.572
N3 0.347 0.250 0.072
N4 0.490 0.750 0.350
N5 0.510 0.250 0.650
N6 0.653 0.750 0.928
N7 0.847 0.250 0.428
N8 0.990 0.750 0.150

A relaxed K2GaCl5 crystal. Source: Alexandria via LeMat-Bulk, functional PBE.

Properties
- D(E_F) (states/eV/cell) = 0.000
- excess energy over the best structure of this formula in the dataset (eV per atom) = 0.000
- uncorrected formation energy (meV/atom) = -1541

a b c (Å): 6.946 6.946 7.372
angles (deg): 122.03 122.03 64.11
Fractional positions:
K1 0.000 0.000 0.000
K2 0.500 0.500 0.500
Ga1 0.288 0.288 0.788
Cl1 0.013 0.453 0.953
Cl2 0.014 0.454 0.514
Cl3 0.453 0.013 0.953
Cl4 0.454 0.014 0.514
Cl5 0.528 0.528 0.029

A relaxed Co2AgMo crystal. Source: Alexandria via LeMat-Bulk, functional PBE.

Properties
- D(E_F) (states/eV/cell) = 3.154
- energy relative to the elements (meV per atom) = 349
- excess energy over the best structure of this formula in the dataset (eV per atom) = 0.064

a b c (Å): 2.673 3.285 6.359
angles (deg): 90.00 90.00 90.00
Fractional positions:
Co1 0.000 0.000 0.000
Co2 0.500 0.500 0.169
Ag1 0.500 0.500 0.726
Mo1 0.000 0.000 0.402

A relaxed Au3SeBr crystal. Source: Alexandria via LeMat-Bulk, functional PBE.

Properties
- D(E_F) (states/eV/cell) = 0.054
- excess energy over the best structure of this formula in the dataset (eV per atom) = 0.000
- uncorrected formation energy (meV/atom) = 331

a b c (Å): 5.039 5.039 5.039
angles (deg): 90.00 90.00 90.00
Fractional positions:
Au1 0.000 0.000 0.500
Au2 0.000 0.500 0.000
Au3 0.500 0.000 0.000
Se1 0.000 0.000 0.000
Br1 0.500 0.500 0.500

A relaxed Li2AcTm2Pb2 crystal. Source: Alexandria via LeMat-Bulk, functional PBE.

Properties
- D(E_F) (states/eV/cell) = 4.535
- energy relative to the elements (meV per atom) = -323

a b c (Å): 9.659 9.659 9.659
angles (deg): 29.56 29.56 29.56
Fractional positions:
Li1 0.074 0.074 0.074
Li2 0.926 0.926 0.926
Ac1 0.500 0.500 0.500
Tm1 0.367 0.367 0.367
Tm2 0.633 0.633 0.633
Pb1 0.245 0.245 0.245
Pb2 0.755 0.755 0.755

A relaxed Be2CdSi crystal. Source: Alexandria via LeMat-Bulk, functional PBE.

Properties
- D(E_F) (states/eV/cell) = 0.973
- excess energy over the best structure of this formula in the dataset (eV per atom) = 0.189
- uncorrected formation energy (meV/atom) = 595

a b c (Å): 4.740 4.740 4.740
angles (deg): 133.37 133.37 68.08
Fractional positions:
Be1 0.000 0.000 0.000
Be2 0.750 0.250 0.500
Cd1 0.250 0.750 0.500
Si1 0.500 0.500 0.000

A relaxed Rb2HoZn2Te4 crystal. Source: Alexandria via LeMat-Bulk, functional PBE.

Properties
- D(E_F) (states/eV/cell) = 2.446
- uncorrected formation energy (meV/atom) = -857

a b c (Å): 8.529 8.529 8.502
angles (deg): 108.15 108.15 32.37
Fractional positions:
Rb1 0.133 0.133 0.067
Rb2 0.867 0.867 0.933
Ho1 0.000 0.000 0.500
Zn1 0.327 0.327 0.502
Zn2 0.673 0.673 0.498
Te1 0.200 0.200 0.666
Te2 0.488 0.488 0.734
Te3 0.512 0.512 0.266
Te4 0.800 0.800 0.334

A relaxed PrSmGaNi crystal. Source: Alexandria via LeMat-Bulk, functional PBE.

Properties
- D(E_F) (states/eV/cell) = 4.168
- energy relative to the elements (meV per atom) = -411

a b c (Å): 4.337 6.005 6.005
angles (deg): 37.89 90.00 90.00
Fractional positions:
Pr1 0.000 0.000 0.000
Sm1 0.500 0.716 0.716
Ga1 0.500 0.419 0.419
Ni1 0.000 0.289 0.289

A relaxed VAs2OsSe crystal. Source: Alexandria via LeMat-Bulk, functional PBE.

Properties
- D(E_F) (states/eV/cell) = 7.977
- excess energy over the best structure of this formula in the dataset (eV per atom) = 0.000
- uncorrected formation energy (meV/atom) = 1071

a b c (Å): 4.641 4.641 5.376
angles (deg): 90.00 90.00 90.00
Fractional positions:
V1 0.000 0.000 0.000
As1 0.000 0.500 0.500
As2 0.500 0.000 0.500
Os1 0.500 0.500 0.500
Se1 0.500 0.500 0.000

A relaxed K3Na4Ag2 crystal. Source: Alexandria via LeMat-Bulk, functional PBE.

Properties
- D(E_F) (states/eV/cell) = 3.184
- energy relative to the elements (meV per atom) = 23

a b c (Å): 4.772 8.408 10.254
angles (deg): 66.53 89.93 73.52
Fractional positions:
K1 0.000 0.000 0.000
K2 0.368 0.265 0.619
K3 0.632 0.735 0.381
Na1 0.113 0.773 0.685
Na2 0.321 0.358 0.996
Na3 0.679 0.642 0.004
Na4 0.887 0.227 0.315
Ag1 0.242 0.516 0.231
Ag2 0.758 0.484 0.769

A relaxed PmSbRh2 crystal. Source: Alexandria via LeMat-Bulk, functional PBE.

Properties
- D(E_F) (states/eV/cell) = 12.759
- excess energy over the best structure of this formula in the dataset (eV per atom) = 0.559
- uncorrected formation energy (meV/atom) = -211

a b c (Å): 6.140 7.352 8.667
angles (deg): 90.00 90.00 90.00
Fractional positions:
Pm1 0.250 0.000 0.193
Pm2 0.250 0.500 0.289
Pm3 0.750 0.000 0.807
Pm4 0.750 0.500 0.711
Sb1 0.250 0.000 0.752
Sb2 0.250 0.500 0.775
Sb3 0.750 0.000 0.248
Sb4 0.750 0.500 0.225
Rh1 0.000 0.000 0.500
Rh2 0.000 0.500 0.000
Rh3 0.250 0.295 0.539
Rh4 0.250 0.705 0.539
Rh5 0.500 0.000 0.500
Rh6 0.500 0.500 0.000
Rh7 0.750 0.295 0.461
Rh8 0.750 0.705 0.461

A relaxed MoOsRu6 crystal. Source: Alexandria via LeMat-Bulk, functional PBE.

Properties
- D(E_F) (states/eV/cell) = 7.185
- energy relative to the elements (meV per atom) = 62

a b c (Å): 5.432 5.432 3.853
angles (deg): 90.00 90.00 90.00
Fractional positions:
Mo1 0.000 0.000 0.000
Os1 0.500 0.500 0.000
Ru1 0.000 0.500 0.000
Ru2 0.253 0.253 0.500
Ru3 0.253 0.747 0.500
Ru4 0.500 0.000 0.000
Ru5 0.747 0.253 0.500
Ru6 0.747 0.747 0.500